Material: V2RuPt3
Method: DFT, PBE
State: relaxed

a b c (Å): 7.4242 10.2281 5.3701
angles (deg): 90.00 90.00 90.00
With the nearest neighbours (Å) after each atom.
Space group Ibam (No. 72)
One atom of each set of equivalent atoms:
V  0.2381  0.1255  0.0000  1 Ru 2.33, 2 Pt 2.56
Ru  0.0000  0.5000  0.0000  2 V 2.33
Pt  0.0000  0.0000  0.2500  4 V 2.56, 4 Pt 2.69-2.70
Pt  0.0000  0.2640  0.2500  4 V 2.62-2.63, 3 Pt 2.69-2.70, 2 Ru 2.76

Properties
The energy above the lowest structure with this stoichiometry comes out at 2.033 eV per formula unit. The calculation puts the final energy at -182.60 eV for the cell shown. For the density of states at the Fermi level, the calculation gives 1.133 states/eV/atom.